No. 1
Ac3ScS6: relaxed, GGA-PBE.

Geometry as extended XYZ:
```
20
Lattice="7.080 0.000 0.000 0.000 9.240 0.013 0.000 -2.049 9.010" Properties=species:S:1:pos:R:3 pbc="T T T"
S 1.389 2.643 2.895
S 4.929 4.548 6.127
S 1.335 -0.231 5.201
S 4.929 2.233 3.222
S 1.197 6.780 1.973
S 1.389 4.958 5.800
S 1.170 -1.610 8.660
S 1.335 2.069 8.087
S 4.737 0.411 7.049
S 4.875 7.421 3.821
S 4.710 8.801 0.363
S 4.875 5.122 0.936
Ac 3.362 7.013 6.400
Ac 2.944 2.428 5.442
Ac 6.484 4.763 3.581
Ac 6.902 4.674 8.264
Ac 3.362 2.516 0.758
Ac 6.902 0.178 2.622
Sc 0.113 0.141 7.264
Sc 3.653 7.049 1.759
```

Values from the calculation:
- N(E_F): 0.000 states/eV/f.u.
- Formation energy from raw total energies: -2.09 eV per atom

=====

No. 2
NaTl2Pd2: relaxed, GGA-PBE.

Geometry as extended XYZ:
```
10
Lattice="-1.848 1.373 -7.618 -4.623 -6.478 -0.047 -2.588 1.840 0.959" Properties=species:S:1:pos:R:3 pbc="T T T"
Na -3.235 -2.552 -3.832
Na 0.000 0.000 0.000
Pd -1.784 0.008 -4.828
Pd -4.528 -2.909 -6.635
Pd -4.687 -5.113 -2.837
Pd -1.943 -2.195 -1.030
Tl -4.667 -3.157 -0.802
Tl -6.385 -3.582 -4.619
Tl -2.673 0.317 -2.086
Tl -4.391 -0.108 -5.903
```

Values from the calculation:
- ΔE to the lowest computed polymorph: 0.000 kcal/mol of atoms
- N(E_F): 1.877 states/eV/f.u.

=====

No. 3
Ac2Tm2Cd15: relaxed, GGA-PBE.

Geometry as extended XYZ:
```
19
Lattice="-5.175 -4.198 4.311 5.045 -3.926 4.703 -0.370 4.571 6.477" Properties=species:S:1:pos:R:3 pbc="T T T"
Ac -0.167 -1.189 5.186
Ac -0.333 -2.363 10.305
Tm -0.450 -3.200 13.953
Tm -0.050 -0.353 1.538
Cd -2.226 -4.119 4.424
Cd 2.097 -4.004 4.590
Cd 2.522 -1.963 2.352
Cd -1.756 2.041 5.852
Cd -2.700 -3.336 7.739
Cd -2.773 -0.348 7.561
Cd 1.192 2.120 5.965
Cd -3.789 -1.668 4.936
Cd 3.483 -1.474 5.215
Cd -2.587 -2.099 2.155
Cd 2.200 -0.216 7.752
Cd -0.138 -4.483 6.698
Cd -0.362 0.931 8.793
Cd 2.273 -3.204 7.930
Cd -0.185 2.286 3.238
```

Values from the calculation:
- N(E_F): 10.715 states/eV/f.u.
- Raw total energy: -1.81 eV/atom

=====

No. 4
BaCdNF2: relaxed, GGA-PBE.

Geometry as extended XYZ:
```
5
Lattice="-3.896 -1.796 2.609 -2.373 -1.086 -4.290 2.388 -5.192 -0.007" Properties=species:S:1:pos:R:3 pbc="T T T"
F -1.186 -0.543 -2.145
F -1.948 -0.898 1.305
Cd -1.941 -4.037 -0.844
N 1.194 -2.596 -0.003
Ba 0.000 0.000 0.000
```

Values from the calculation:
- ΔE to the lowest computed polymorph: 11.814 kcal/mol of atoms
- N(E_F): 3.619 states/eV/f.u.
- Formation energy from raw total energies: -0.96 eV per atom

=====

No. 5
MnFe4Pb: relaxed, GGA-PBE.

Geometry as extended XYZ:
```
6
Lattice="0.000 3.478 3.478 3.478 0.000 3.478 3.478 3.478 0.000" Properties=species:S:1:pos:R:3 pbc="T T T"
Fe 4.342 4.342 4.342
Fe 4.342 2.614 2.614
Fe 2.614 4.342 2.614
Fe 2.614 2.614 4.342
Pb 0.000 0.000 0.000
Mn 1.739 1.739 1.739
```

Values from the calculation:
- N(E_F): 7.622 states/eV/f.u.
- Raw total energy: -7.48 eV/atom

=====

no.,ρ (g/cm3)
1,5.2
2,10.2
3,8.6
4,3.5
5,9.6